(1)
# HgSeO3 PBE relaxed
# E   -4.332 eV per atom
# Crystal system   orthorhombic
data_HgSeO3
_space_group_name_H-M_alt 'P n m a'
_space_group_IT_number 62
_cell_length_a 6.152
_cell_length_b 8.195
_cell_length_c 5.830
_cell_angle_alpha 90.00
_cell_angle_beta 90.00
_cell_angle_gamma 90.00
loop_
_space_group_symop_operation_xyz
'x,y,z'
'-x,-y,-z'
'-x+1/2,-y,z+1/2'
'x+1/2,y,-z+1/2'
'x+1/2,-y+1/2,-z+1/2'
'-x+1/2,y+1/2,z+1/2'
'-x,y+1/2,-z'
'x,-y+1/2,z'
loop_
_atom_site_label
_atom_site_type_symbol
_atom_site_fract_x
_atom_site_fract_y
_atom_site_fract_z
Hg1 Hg 0.000 0.000 0.000
Se1 Se 0.044 0.250 0.496
O1 O 0.134 0.250 0.772
O2 O 0.187 0.086 0.374



(2)
# Hg2SeO PBE relaxed
# Energy above the lowest structure with this stoichiometry   0.000 eV per atom
# Crystal system   orthorhombic
data_Hg2SeO
_space_group_name_H-M_alt 'P n m a'
_space_group_IT_number 62
_cell_length_a 6.150
_cell_length_b 3.895
_cell_length_c 14.634
_cell_angle_alpha 90.00
_cell_angle_beta 90.00
_cell_angle_gamma 90.00
loop_
_space_group_symop_operation_xyz
'x,y,z'
'-x,-y,-z'
'-x+1/2,-y,z+1/2'
'x+1/2,y,-z+1/2'
'x+1/2,-y+1/2,-z+1/2'
'-x+1/2,y+1/2,z+1/2'
'-x,y+1/2,-z'
'x,-y+1/2,z'
loop_
_atom_site_label
_atom_site_type_symbol
_atom_site_fract_x
_atom_site_fract_y
_atom_site_fract_z
Hg1 Hg 0.182 0.250 0.183
Hg2 Hg 0.187 0.750 0.402
Se1 Se 0.243 0.250 0.561
O1 O 0.209 0.750 0.826



(3)
# Hg5Se2O8 PBE relaxed
# E   -3.702 eV per atom
# Crystal system   monoclinic
data_Hg5Se2O8
_space_group_name_H-M_alt 'C 1 2/c 1'
_space_group_IT_number 15
_cell_length_a 17.589
_cell_length_b 6.218
_cell_length_c 18.896
_cell_angle_alpha 90.00
_cell_angle_beta 90.73
_cell_angle_gamma 90.00
loop_
_space_group_symop_operation_xyz
'x,y,z'
'-x,-y,-z'
'-x,y,-z+1/2'
'x,-y,z+1/2'
'x+1/2,y+1/2,z'
'-x+1/2,-y+1/2,-z'
'-x+1/2,y+1/2,-z+1/2'
'x+1/2,-y+1/2,z+1/2'
loop_
_atom_site_label
_atom_site_type_symbol
_atom_site_fract_x
_atom_site_fract_y
_atom_site_fract_z
Hg1 Hg 0.022 0.199 0.004
Hg2 Hg 0.068 0.002 0.274
Hg3 Hg 0.171 0.107 0.538
Hg4 Hg 0.228 0.088 0.929
Hg5 Hg 0.248 0.262 0.747
Se1 Se 0.093 0.493 0.130
Se2 Se 0.112 0.493 0.359
O1 O 0.058 0.292 0.877
O2 O 0.074 0.265 0.388
O3 O 0.077 0.492 0.539
O4 O 0.121 0.474 0.270
O5 O 0.141 0.261 0.639
O6 O 0.166 0.305 0.131
O7 O 0.191 0.015 0.800
O8 O 0.200 0.468 0.893



(4)
# Hg2SeO PBE relaxed
# Energy above the lowest structure with this stoichiometry   0.219 eV per atom
# Crystal system   orthorhombic
data_Hg2SeO
_space_group_name_H-M_alt 'C m c m'
_space_group_IT_number 63
_space_group_name_Hall '-C 2c 2'
_cell_length_a 3.674
_cell_length_b 13.921
_cell_length_c 6.073
_cell_angle_alpha 90.00
_cell_angle_beta 90.00
_cell_angle_gamma 90.00
loop_
_atom_site_label
_atom_site_type_symbol
_atom_site_fract_x
_atom_site_fract_y
_atom_site_fract_z
Hg1 Hg 0.000 0.066 0.250
Hg2 Hg 0.000 0.364 0.250
Se1 Se 0.000 0.283 0.750
O1 O 0.000 0.500 0.000



(5)
# SnHgSeO PBE relaxed
# Energy above the lowest structure with this stoichiometry   0.020 eV per atom
# Crystal system   orthorhombic
data_SnHgSeO
_space_group_name_H-M_alt 'P 21 21 21'
_space_group_IT_number 19
_cell_length_a 6.018
_cell_length_b 7.480
_cell_length_c 9.040
_cell_angle_alpha 90.00
_cell_angle_beta 90.00
_cell_angle_gamma 90.00
loop_
_space_group_symop_operation_xyz
'x,y,z'
'-x+1/2,-y,z+1/2'
'x+1/2,-y+1/2,-z'
'-x,y+1/2,-z+1/2'
loop_
_atom_site_label
_atom_site_type_symbol
_atom_site_fract_x
_atom_site_fract_y
_atom_site_fract_z
Sn1 Sn 0.056 0.136 0.423
Hg1 Hg 0.054 0.145 0.122
Se1 Se 0.066 0.380 0.902
O1 O 0.126 0.848 0.005



(6)
# SnHgSeO PBE relaxed
# Energy above the lowest structure with this stoichiometry   0.089 eV per atom
# Crystal system   orthorhombic
data_SnHgSeO
_space_group_name_H-M_alt 'P c a 21'
_space_group_IT_number 29
_cell_length_a 7.926
_cell_length_b 7.785
_cell_length_c 6.296
_cell_angle_alpha 90.00
_cell_angle_beta 90.00
_cell_angle_gamma 90.00
loop_
_space_group_symop_operation_xyz
'x,y,z'
'-x,-y,z+1/2'
'-x+1/2,y,z+1/2'
'x+1/2,-y,z'
loop_
_atom_site_label
_atom_site_type_symbol
_atom_site_fract_x
_atom_site_fract_y
_atom_site_fract_z
Sn1 Sn 0.129 0.093 0.000
Hg1 Hg 0.083 0.635 0.126
Se1 Se 0.077 0.652 0.692
O1 O 0.030 0.918 0.225